1.
VASP calculation (PBE) on a geometry-optimized Cu2Ni8Pd structure.

Unit cell a=8.6967 b=8.6967 c=8.6967 alpha=153.06 beta=149.13 gamma=41.43
Element x y z (fractional)
Cu (0.2292, 0.2292, 0.0000)
Cu (0.7708, 0.7708, 0.0000)
Ni (0.0849, 0.0849, 0.0000)
Ni (0.1074, 0.3606, 0.7468)
Ni (0.3269, 0.8269, 0.5000)
Ni (0.3862, 0.6394, 0.7468)
Ni (0.6138, 0.3606, 0.2532)
Ni (0.6731, 0.1731, 0.5000)
Ni (0.8926, 0.6394, 0.2532)
Ni (0.9151, 0.9151, 0.0000)
Pd (0.0000, 0.5000, 0.5000)

Output
mass density	7.7	Mg/m³
symmetry	Immm (71)
E_form	0.403	eV per atom
total energy	-5.02	eV per atom

---

2.
VASP calculation (PBE) on a geometry-optimized Cu3NiPd4 structure.

Unit cell a=11.1219 b=11.1219 c=11.1219 alpha=165.78 beta=160.04 gamma=24.59
Element x y z (fractional)
Cu (0.0000, 0.0000, 0.0000)
Cu (0.2204, 0.7204, 0.5000)
Cu (0.7796, 0.2796, 0.5000)
Ni (0.5000, 0.5000, 0.0000)
Pd (0.0966, 0.5966, 0.5000)
Pd (0.3382, 0.8382, 0.5000)
Pd (0.6618, 0.1618, 0.5000)
Pd (0.9034, 0.4034, 0.5000)

Output
mass density	9.7	Mg/m³
symmetry	Immm (71)
E above lowest polymorph	192.1	meV per atom
E_form	0.126	eV per atom
total energy	-4.73	eV per atom

---

3.
VASP calculation (PBE) on a geometry-optimized CuNi2Pd8 structure.

Unit cell a=7.1795 b=7.1795 c=6.1472 alpha=105.70 beta=105.70 gamma=31.51
Element x y z (fractional)
Cu (0.0000, 0.0000, 0.0000)
Ni (0.2734, 0.2734, 0.3648)
Ni (0.7266, 0.7266, 0.6352)
Pd (0.0971, 0.0971, 0.4582)
Pd (0.1814, 0.1814, 0.9169)
Pd (0.3587, 0.3587, 0.8046)
Pd (0.4539, 0.4539, 0.2683)
Pd (0.5461, 0.5461, 0.7317)
Pd (0.6413, 0.6413, 0.1954)
Pd (0.8186, 0.8186, 0.0831)
Pd (0.9029, 0.9029, 0.5418)

Output
mass density	10.8	Mg/m³
symmetry	C2/m (12)
E above lowest polymorph	0.0	meV per atom
E_form	0.002	eV per atom
total energy	-5.20	eV per atom

---

4.
VASP calculation (PBE) on a geometry-optimized Cu6Ni2Pd structure.

Unit cell a=2.5794 b=2.5794 c=19.2441 alpha=90.00 beta=90.00 gamma=120.00
Element x y z (fractional)
Cu (0.0000, 0.0000, 0.0631)
Cu (0.0000, 0.0000, 0.2746)
Cu (0.0000, 0.0000, 0.7254)
Cu (0.0000, 0.0000, 0.9369)
Cu (0.3333, 0.6667, 0.3830)
Cu (0.3333, 0.6667, 0.6170)
Ni (0.3333, 0.6667, 0.1687)
Ni (0.3333, 0.6667, 0.8313)
Pd (0.0000, 0.0000, 0.5000)

Output
mass density	9.1	Mg/m³
symmetry	P-6m2 (187)
E above lowest polymorph	0.0	meV per atom
E_form	0.049	eV per atom
total energy	-4.54	eV per atom

---

5.
VASP calculation (PBE) on a geometry-optimized CuNi5Pd6 structure.

Unit cell a=7.0829 b=7.0829 c=7.0829 alpha=148.41 beta=118.78 gamma=70.53
Element x y z (fractional)
Cu (0.0000, 0.0000, 0.0000)
Ni (0.1687, 0.6687, 0.5000)
Ni (0.3335, 0.3335, 0.0000)
Ni (0.5000, 0.0000, 0.5000)
Ni (0.6665, 0.6665, 0.0000)
Ni (0.8313, 0.3313, 0.5000)
Pd (0.0830, 0.8330, 0.2500)
Pd (0.2513, 0.5000, 0.7513)
Pd (0.4171, 0.1670, 0.2500)
Pd (0.5829, 0.8330, 0.7500)
Pd (0.7487, 0.5000, 0.2487)
Pd (0.9170, 0.1670, 0.7500)

Output
mass density	10.3	Mg/m³
symmetry	Immm (71)
E above lowest polymorph	0.0	meV per atom
E_form	0.023	eV per atom
total energy	-5.32	eV per atom

---

6.
VASP calculation (PBE) on a geometry-optimized Cu3NiPd2 structure.

Unit cell a=4.5053 b=4.5943 c=7.8549 alpha=91.41 beta=103.62 gamma=97.84
Element x y z (fractional)
Cu (0.2471, 0.1172, 0.4603)
Cu (0.2496, 0.6329, 0.2893)
Cu (0.2520, 0.6175, 0.9603)
Cu (0.7480, 0.3825, 0.0397)
Cu (0.7504, 0.3671, 0.7107)
Cu (0.7529, 0.8828, 0.5397)
Ni (0.2505, 0.1282, 0.7892)
Ni (0.7495, 0.8718, 0.2108)
Pd (0.2486, 0.1225, 0.1243)
Pd (0.2514, 0.6234, 0.6266)
Pd (0.7486, 0.3766, 0.3734)
Pd (0.7514, 0.8775, 0.8757)

Output
mass density	9.8	Mg/m³
symmetry	P-1 (2)
E above lowest polymorph	7.0	meV per atom
E_form	-0.039	eV per atom
total energy	-4.78	eV per atom

---

7.
VASP calculation (PBE) on a geometry-optimized Cu2NiPd3 structure.

Unit cell a=6.2605 b=6.2605 c=6.9713 alpha=90.00 beta=90.00 gamma=143.20
Element x y z (fractional)
Cu (0.0000, 0.0000, 0.0000)
Cu (0.0000, 0.0000, 0.5000)
Cu (0.3334, 0.6666, 0.0000)
Cu (0.6666, 0.3334, 0.0000)
Ni (0.3330, 0.6670, 0.5000)
Ni (0.6670, 0.3330, 0.5000)
Pd (0.1672, 0.8328, 0.2532)
Pd (0.1672, 0.8328, 0.7468)
Pd (0.5000, 0.5000, 0.2520)
Pd (0.5000, 0.5000, 0.7480)
Pd (0.8328, 0.1672, 0.2532)
Pd (0.8328, 0.1672, 0.7468)

Output
mass density	10.2	Mg/m³
symmetry	Cmmm (65)
E above lowest polymorph	10.4	meV per atom
E_form	-0.045	eV per atom
total energy	-4.97	eV per atom

---

8.
VASP calculation (PBE) on a geometry-optimized CuNi14Pd structure.

Unit cell a=8.2252 b=5.0384 c=5.0384 alpha=59.91 beta=90.00 gamma=90.00
Element x y z (fractional)
Cu (0.0000, 0.0000, 0.0000)
Ni (0.0000, 0.9995, 0.5018)
Ni (0.0000, 0.5018, 0.9995)
Ni (0.2511, 0.1680, 0.1680)
Ni (0.2550, 0.6695, 0.6695)
Ni (0.2568, 0.1635, 0.6679)
Ni (0.2568, 0.6679, 0.1635)
Ni (0.5000, 0.3332, 0.3332)
Ni (0.5000, 0.3336, 0.8347)
Ni (0.5000, 0.8336, 0.8336)
Ni (0.5000, 0.8347, 0.3336)
Ni (0.7432, 0.1635, 0.6679)
Ni (0.7432, 0.6679, 0.1635)
Ni (0.7450, 0.6695, 0.6695)
Ni (0.7489, 0.1680, 0.1680)
Pd (0.0000, 0.5005, 0.5005)

Output
mass density	9.1	Mg/m³
symmetry	Amm2 (38)
E_form	0.033	eV per atom
total energy	-5.61	eV per atom

---

What is the total energy in the second record? -4.73 eV per atom

---

E_form of number 4 (Cu6Ni2Pd)? 0.049 eV per atom